ErMgAgO3: relaxed, GGA-PBE.

electronic total energy	-6.10	eV/atom
calculated volume	76.3	Å³/f.u.
total magnetization	0.00	μB per formula unit

Cell lengths 7.575, 7.575, 6.498 Å; angles 90.00, 90.00, 155.86 degrees
Atoms (fractional coordinates):
Er1 0.000 0.000 0.000
Er2 0.000 0.000 0.500
Mg1 0.344 0.656 0.750
Mg2 0.656 0.344 0.250
Ag1 0.317 0.683 0.250
Ag2 0.683 0.317 0.750
O1 0.147 0.853 0.040
O2 0.147 0.853 0.460
O3 0.494 0.506 0.750
O4 0.506 0.494 0.250
O5 0.853 0.147 0.540
O6 0.853 0.147 0.960

Lu4B3As: relaxed, GGA-PBE.

electronic total energy	-5.52	eV/atom
calculated volume	149.2	Å³/f.u.
total magnetization	0.00	μB per formula unit

Cell lengths 3.983, 3.983, 21.722 Å; angles 90.00, 90.00, 120.00 degrees
Atoms (fractional coordinates):
Lu1 0.000 0.000 0.169
Lu2 0.000 0.000 0.331
Lu3 0.000 0.000 0.669
Lu4 0.000 0.000 0.831
Lu5 0.333 0.667 0.054
Lu6 0.333 0.667 0.446
Lu7 0.667 0.333 0.554
Lu8 0.667 0.333 0.946
B1 0.000 0.000 0.000
B2 0.000 0.000 0.500
B3 0.333 0.667 0.602
B4 0.333 0.667 0.898
B5 0.667 0.333 0.102
B6 0.667 0.333 0.398
As1 0.333 0.667 0.250
As2 0.667 0.333 0.750

ScAg2Au2: relaxed, GGA-PBE.

electronic total energy	-4.12	eV/atom
calculated volume	90.3	Å³/f.u.
DFT formation energy	-423	meV/atom
total magnetization	0.00	μB per formula unit

Cell lengths 9.383, 4.099, 6.636 Å; angles 90.00, 134.94, 90.00 degrees
Atoms (fractional coordinates):
Sc1 0.000 0.000 0.000
Sc2 0.500 0.500 0.000
Ag1 0.310 0.500 0.411
Ag2 0.412 0.000 0.219
Ag3 0.810 0.000 0.411
Ag4 0.912 0.500 0.219
Au1 0.115 0.500 0.825
Au2 0.212 0.000 0.611
Au3 0.615 0.000 0.825
Au4 0.712 0.500 0.611

DyEr2Mg4Tl2: relaxed, GGA-PBE.

electronic total energy	-2.96	eV/atom
calculated volume	228.4	Å³/f.u.
total magnetization	0.00	μB per formula unit

Cell lengths 4.623, 7.558, 7.558 Å; angles 120.15, 90.00, 90.00 degrees
Atoms (fractional coordinates):
Dy1 0.000 0.000 0.000
Er1 0.000 0.436 0.872
Er2 0.000 0.872 0.436
Mg1 0.000 0.438 0.438
Mg2 0.500 0.194 0.436
Mg3 0.500 0.436 0.194
Mg4 0.500 0.679 0.679
Tl1 0.500 0.103 0.768
Tl2 0.500 0.768 0.103

SrLiNiSb: relaxed, GGA-PBE.

electronic total energy	-3.51	eV/atom
offset from the most stable computed form	0.804	eV/f.u.
calculated volume	84.9	Å³/f.u.
total magnetization	0.00	μB per formula unit

Cell lengths 6.977, 6.977, 6.977 Å; angles 90.00, 90.00, 90.00 degrees
Atoms (fractional coordinates):
Sr1 0.000 0.000 0.000
Sr2 0.000 0.500 0.500
Sr3 0.500 0.000 0.500
Sr4 0.500 0.500 0.000
Li1 0.250 0.250 0.750
Li2 0.250 0.750 0.250
Li3 0.750 0.250 0.250
Li4 0.750 0.750 0.750
Ni1 0.000 0.000 0.500
Ni2 0.000 0.500 0.000
Ni3 0.500 0.000 0.000
Ni4 0.500 0.500 0.500
Sb1 0.250 0.250 0.250
Sb2 0.250 0.750 0.750
Sb3 0.750 0.250 0.750
Sb4 0.750 0.750 0.250

KBaPrSe3: relaxed, GGA-PBE.

electronic total energy	-4.54	eV/atom
calculated volume	200.5	Å³/f.u.
total magnetization	0.00	μB per formula unit

Cell lengths 7.793, 7.793, 11.504 Å; angles 90.00, 90.00, 144.96 degrees
Atoms (fractional coordinates):
K1 0.036 0.964 0.750
K2 0.964 0.036 0.250
Ba1 0.233 0.767 0.250
Ba2 0.767 0.233 0.750
Pr1 0.500 0.500 0.000
Pr2 0.500 0.500 0.500
Se1 0.136 0.864 0.528
Se2 0.136 0.864 0.972
Se3 0.415 0.585 0.750
Se4 0.585 0.415 0.250
Se5 0.864 0.136 0.028
Se6 0.864 0.136 0.472

PrHoTe2As2: relaxed, GGA-PBE.

electronic total energy	-5.30	eV/atom
calculated volume	157.4	Å³/f.u.
total magnetization	0.00	μB per formula unit

Cell lengths 4.127, 4.127, 9.242 Å; angles 90.00, 90.00, 90.00 degrees
Atoms (fractional coordinates):
Pr1 0.000 0.000 0.000
Ho1 0.500 0.500 0.508
Te1 0.000 0.000 0.622
Te2 0.500 0.500 0.869
As1 0.000 0.500 0.261
As2 0.500 0.000 0.261

Tb2DyAl3Si2Pt: relaxed, GGA-PBE.

electronic total energy	-5.54	eV/atom
calculated volume	176.0	Å³/f.u.
total magnetization	0.01	μB per formula unit

Cell lengths 4.230, 6.931, 6.931 Å; angles 120.01, 90.00, 90.00 degrees
Atoms (fractional coordinates):
Tb1 0.000 0.209 0.791
Tb2 0.000 0.791 0.209
Dy1 0.000 0.374 0.374
Al1 0.500 0.028 0.028
Al2 0.500 0.555 0.791
Al3 0.500 0.791 0.555
Si1 0.500 0.125 0.458
Si2 0.500 0.458 0.125
Pt1 0.000 0.790 0.790

MgTc2Sn: relaxed, GGA-PBE.

electronic total energy	-6.39	eV/atom
calculated volume	65.7	Å³/f.u.
total magnetization	0.23	μB per formula unit

Cell lengths 6.406, 6.406, 6.406 Å; angles 90.00, 90.00, 90.00 degrees
Atoms (fractional coordinates):
Mg1 0.000 0.000 0.000
Mg2 0.000 0.500 0.500
Mg3 0.500 0.000 0.500
Mg4 0.500 0.500 0.000
Tc1 0.000 0.000 0.500
Tc2 0.000 0.500 0.000
Tc3 0.250 0.250 0.250
Tc4 0.250 0.750 0.750
Tc5 0.500 0.000 0.000
Tc6 0.500 0.500 0.500
Tc7 0.750 0.250 0.750
Tc8 0.750 0.750 0.250
Sn1 0.250 0.250 0.750
Sn2 0.250 0.750 0.250
Sn3 0.750 0.250 0.250
Sn4 0.750 0.750 0.750

ErTm2Zn3CuAu2: relaxed, GGA-PBE.

electronic total energy	-3.66	eV/atom
calculated volume	176.6	Å³/f.u.
DFT formation energy	-594	meV/atom
total magnetization	0.01	μB per formula unit

Cell lengths 3.894, 7.238, 7.238 Å; angles 120.03, 90.00, 90.00 degrees
Atoms (fractional coordinates):
Er1 0.000 0.000 0.000
Tm1 0.000 0.194 0.597
Tm2 0.000 0.597 0.194
Zn1 0.500 0.363 0.363
Zn2 0.500 0.597 0.832
Zn3 0.500 0.832 0.597
Cu1 0.000 0.597 0.597
Au1 0.500 0.264 0.930
Au2 0.500 0.930 0.264

ZnFeHgBi: relaxed, GGA-PBE.

electronic total energy	-2.99	eV/atom
offset from the most stable computed form	0.000	eV/f.u.
calculated volume	82.5	Å³/f.u.
total magnetization	2.94	μB per formula unit

Cell lengths 6.912, 6.912, 6.912 Å; angles 90.00, 90.00, 90.00 degrees
Atoms (fractional coordinates):
Zn1 0.000 0.000 0.000
Zn2 0.000 0.500 0.500
Zn3 0.500 0.000 0.500
Zn4 0.500 0.500 0.000
Fe1 0.000 0.000 0.500
Fe2 0.000 0.500 0.000
Fe3 0.500 0.000 0.000
Fe4 0.500 0.500 0.500
Hg1 0.250 0.250 0.750
Hg2 0.250 0.750 0.250
Hg3 0.750 0.250 0.250
Hg4 0.750 0.750 0.750
Bi1 0.250 0.250 0.250
Bi2 0.250 0.750 0.750
Bi3 0.750 0.250 0.750
Bi4 0.750 0.750 0.250

PaGaAg: relaxed, GGA-PBE.

electronic total energy	-4.95	eV/atom
calculated volume	72.1	Å³/f.u.
total magnetization	0.91	μB per formula unit

Cell lengths 6.606, 6.606, 6.606 Å; angles 90.00, 90.00, 90.00 degrees
Atoms (fractional coordinates):
Pa1 0.000 0.000 0.000
Pa2 0.000 0.500 0.500
Pa3 0.500 0.000 0.500
Pa4 0.500 0.500 0.000
Ga1 0.000 0.000 0.500
Ga2 0.000 0.500 0.000
Ga3 0.500 0.000 0.000
Ga4 0.500 0.500 0.500
Ag1 0.250 0.250 0.750
Ag2 0.250 0.750 0.250
Ag3 0.750 0.250 0.250
Ag4 0.750 0.750 0.750

Cu7Ag3: relaxed, GGA-PBE.

electronic total energy	-3.34	eV/atom
offset from the most stable computed form	0.600	eV/f.u.
calculated volume	138.5	Å³/f.u.
DFT formation energy	105	meV/atom

Cell lengths 4.686, 2.727, 10.943 Å; angles 90.00, 97.98, 90.00 degrees
Atoms (fractional coordinates):
Cu1 0.000 0.000 0.000
Cu2 0.092 0.500 0.802
Cu3 0.185 0.000 0.608
Cu4 0.386 0.000 0.188
Cu5 0.485 0.500 0.005
Cu6 0.701 0.500 0.604
Cu7 0.888 0.500 0.185
Ag1 0.291 0.500 0.398
Ag2 0.593 0.000 0.804
Ag3 0.790 0.000 0.395

BaCdAu: relaxed, GGA-PBE.

electronic total energy	-2.60	eV/atom
calculated volume	89.2	Å³/f.u.

Cell lengths 8.273, 8.273, 4.516 Å; angles 90.00, 90.00, 120.00 degrees
Atoms (fractional coordinates):
Ba1 0.000 0.590 0.000
Ba2 0.410 0.410 0.000
Ba3 0.590 0.000 0.000
Cd1 0.000 0.239 0.500
Cd2 0.239 0.000 0.500
Cd3 0.761 0.761 0.500
Au1 0.000 0.000 0.000
Au2 0.333 0.667 0.500
Au3 0.667 0.333 0.500

ZrIn2B2O6: relaxed, GGA-PBE.

electronic total energy	-7.35	eV/atom
calculated volume	146.5	Å³/f.u.
total magnetization	0.00	μB per formula unit

Cell lengths 6.691, 6.691, 6.691 Å; angles 47.02, 47.02, 47.02 degrees
Atoms (fractional coordinates):
Zr1 0.000 0.000 0.000
In1 0.210 0.210 0.210
In2 0.790 0.790 0.790
B1 0.401 0.401 0.401
B2 0.599 0.599 0.599
O1 0.253 0.253 0.700
O2 0.253 0.700 0.253
O3 0.300 0.747 0.747
O4 0.700 0.253 0.253
O5 0.747 0.300 0.747
O6 0.747 0.747 0.300

PrLuTa: relaxed, GGA-PBE.

electronic total energy	-5.67	eV/atom
calculated volume	88.8	Å³/f.u.
DFT formation energy	1376	meV/atom
total magnetization	1.27	μB per formula unit

Cell lengths 7.083, 7.083, 7.083 Å; angles 90.00, 90.00, 90.00 degrees
Atoms (fractional coordinates):
Pr1 0.000 0.000 0.000
Pr2 0.000 0.500 0.500
Pr3 0.500 0.000 0.500
Pr4 0.500 0.500 0.000
Lu1 0.250 0.250 0.750
Lu2 0.250 0.750 0.250
Lu3 0.750 0.250 0.250
Lu4 0.750 0.750 0.750
Ta1 0.250 0.250 0.250
Ta2 0.250 0.750 0.750
Ta3 0.750 0.250 0.750
Ta4 0.750 0.750 0.250

LaPPdO: relaxed, GGA-PBE.

electronic total energy	-6.49	eV/atom
offset from the most stable computed form	2.298	eV/f.u.
calculated volume	84.6	Å³/f.u.
total magnetization	0.00	μB per formula unit

Cell lengths 3.660, 7.799, 5.927 Å; angles 90.00, 90.00, 90.00 degrees
Atoms (fractional coordinates):
La1 0.000 0.229 0.000
La2 0.000 0.771 0.500
P1 0.000 0.391 0.499
P2 0.000 0.609 0.999
Pd1 0.500 0.210 0.500
Pd2 0.500 0.790 0.000
O1 0.500 0.077 0.997
O2 0.500 0.923 0.497

RbCd3Ag2: relaxed, GGA-PBE.

electronic total energy	-1.64	eV/atom
calculated volume	163.4	Å³/f.u.

Cell lengths 7.538, 7.538, 5.898 Å; angles 90.00, 90.00, 77.25 degrees
Atoms (fractional coordinates):
Rb1 0.152 0.848 0.750
Rb2 0.848 0.152 0.250
Cd1 0.032 0.566 0.250
Cd2 0.434 0.968 0.250
Cd3 0.435 0.565 0.250
Cd4 0.565 0.435 0.750
Cd5 0.566 0.032 0.750
Cd6 0.968 0.434 0.750
Ag1 0.291 0.291 0.000
Ag2 0.291 0.291 0.500
Ag3 0.709 0.709 0.000
Ag4 0.709 0.709 0.500

Ac4Pd4O11: relaxed, GGA-PBE.

electronic total energy	-6.73	eV/atom
offset from the most stable computed form	0.047	eV/f.u.
calculated volume	271.3	Å³/f.u.
total magnetization	0.00	μB per formula unit

Cell lengths 5.721, 5.887, 8.055 Å; angles 89.78, 89.46, 89.85 degrees
Atoms (fractional coordinates):
Ac1 0.000 0.000 0.000
Ac2 0.012 0.102 0.500
Ac3 0.514 0.625 0.515
Ac4 0.540 0.515 0.019
Pd1 0.025 0.556 0.259
Pd2 0.037 0.546 0.757
Pd3 0.500 0.081 0.756
Pd4 0.512 0.066 0.256
O1 0.115 0.579 0.006
O2 0.220 0.856 0.710
O3 0.224 0.851 0.301
O4 0.317 0.357 0.315
O5 0.419 0.099 0.006
O6 0.586 0.049 0.508
O7 0.717 0.766 0.798
O8 0.724 0.770 0.229
O9 0.810 0.271 0.800
O10 0.817 0.265 0.215
O11 0.940 0.535 0.511

MgNbCuSi: relaxed, GGA-PBE.

electronic total energy	-5.01	eV/atom
offset from the most stable computed form	0.000	eV/f.u.
calculated volume	60.4	Å³/f.u.
total magnetization	0.63	μB per formula unit

Cell lengths 6.228, 6.228, 6.228 Å; angles 90.00, 90.00, 90.00 degrees
Atoms (fractional coordinates):
Mg1 0.000 0.000 0.000
Mg2 0.000 0.500 0.500
Mg3 0.500 0.000 0.500
Mg4 0.500 0.500 0.000
Nb1 0.250 0.250 0.250
Nb2 0.250 0.750 0.750
Nb3 0.750 0.250 0.750
Nb4 0.750 0.750 0.250
Cu1 0.250 0.250 0.750
Cu2 0.250 0.750 0.250
Cu3 0.750 0.250 0.250
Cu4 0.750 0.750 0.750
Si1 0.000 0.000 0.500
Si2 0.000 0.500 0.000
Si3 0.500 0.000 0.000
Si4 0.500 0.500 0.500